Material: ReBAs2Se
Method: DFT, PBE
State: relaxed

Computed properties:
- relative energy among the computed polymorphs (eV per atom) = 0.000
- E (eV for the cell shown) = -25.824
- raw formation energy (eV/atom) = 1.22

abc: 4.268 4.268 4.382
angles: 90.00 90.00 90.00
Fractional coordinates of all 5 atoms:
Re  0.500  0.500  0.500
Se  0.000  0.000  0.500
As  0.000  0.500  0.000
B  0.000  0.000  0.000
As  0.500  0.000  0.000

=====

Material: VRe2BAs
Method: DFT, PBE
State: relaxed

Computed properties:
- E (eV for the cell shown) = -35.962
- energy of formation from the pure elements (eV per atom) = 1.876

abc: 4.698 3.640 4.698
angles: 90.00 90.00 90.00
Fractional coordinates of all 5 atoms:
B  0.000  0.500  0.000
As  0.000  0.000  0.000
Re  0.000  0.000  0.500
V  0.500  0.500  0.500
Re  0.500  0.000  0.000

=====

Material: BAs3Rh
Method: DFT, PBE
State: relaxed

Computed properties:
- relative energy among the computed polymorphs (eV per atom) = 0.608
- E (eV for the cell shown) = -21.342
- energy of formation from the pure elements (eV per atom) = 1.327

abc: 4.796 4.796 4.796
angles: 90.00 90.00 90.00
Fractional coordinates of all 5 atoms:
As  0.500  0.000  0.000
As  0.000  0.000  0.500
B  0.500  0.500  0.500
Rh  0.000  0.000  0.000
As  0.000  0.500  0.000